(1)
Compound: TmUMoC3
Source: the Alexandria database
Functional: GGA-PBE
Structure: relaxed

```
data_TmUMoC3
_chemical_formula_sum 'Tm2 U2 Mo2 C6'
_symmetry_space_group_name_H-M 'P 1'
_symmetry_Int_Tables_number 1
_symmetry_space_group_name_Hall 'P 1'
_cell_length_a 6.759
_cell_length_b 3.439
_cell_length_c 7.451
_cell_angle_alpha 90.00
_cell_angle_beta 107.61
_cell_angle_gamma 90.00
loop_
_atom_site_label
_atom_site_type_symbol
_atom_site_fract_x
_atom_site_fract_y
_atom_site_fract_z
Tm1 Tm 0.081 0.250 0.357
Tm2 Tm 0.919 0.750 0.643
U1 U 0.449 0.750 0.707
U2 U 0.551 0.250 0.293
Mo1 Mo 0.151 0.250 0.967
Mo2 Mo 0.849 0.750 0.033
C1 C 0.208 0.250 0.701
C2 C 0.214 0.750 0.169
C3 C 0.338 0.750 0.371
C4 C 0.662 0.250 0.629
C5 C 0.786 0.250 0.831
C6 C 0.792 0.750 0.299
```

Calculated values
As for the formation energy: -0.123 eV per atom. For the magnetic moment, the calculation gives 0.5 μB/f.u.

(2)
Compound: SrMgAl2
Source: the Alexandria database
Functional: GGA-PBE
Structure: relaxed

```
data_SrMgAl2
_chemical_formula_sum 'Sr1 Mg1 Al2'
_symmetry_space_group_name_H-M 'P 1'
_symmetry_Int_Tables_number 1
_symmetry_space_group_name_Hall 'P 1'
_cell_length_a 3.648
_cell_length_b 4.533
_cell_length_c 6.487
_cell_angle_alpha 90.00
_cell_angle_beta 106.13
_cell_angle_gamma 90.00
loop_
_atom_site_label
_atom_site_type_symbol
_atom_site_fract_x
_atom_site_fract_y
_atom_site_fract_z
Sr1 Sr 0.000 0.000 0.000
Mg1 Mg 0.310 0.500 0.624
Al1 Al 0.620 0.500 0.242
Al2 Al 0.734 0.000 0.472
```

Calculated values
As for the formation energy: -0.057 eV per atom. For the magnetic moment, the calculation gives 0.0 μB/f.u.

(3)
Compound: ZrBeNiRh
Source: the Alexandria database
Functional: GGA-PBE
Structure: relaxed

```
data_ZrBeNiRh
_chemical_formula_sum 'Zr1 Be1 Ni1 Rh1'
_symmetry_space_group_name_H-M 'P 1'
_symmetry_Int_Tables_number 1
_symmetry_space_group_name_Hall 'P 1'
_cell_length_a 4.309
_cell_length_b 4.309
_cell_length_c 4.309
_cell_angle_alpha 60.00
_cell_angle_beta 60.00
_cell_angle_gamma 60.00
loop_
_atom_site_label
_atom_site_type_symbol
_atom_site_fract_x
_atom_site_fract_y
_atom_site_fract_z
Zr1 Zr 0.000 0.000 0.000
Be1 Be 0.500 0.500 0.500
Ni1 Ni 0.250 0.250 0.250
Rh1 Rh 0.750 0.750 0.750
```

Calculated values
As for the formation energy: -0.431 eV per atom. For the magnetic moment, the calculation gives 0.0 μB/f.u.

(4)
Compound: LiGd2Sn
Source: the Alexandria database
Functional: GGA-PBE
Structure: relaxed

```
data_LiGd2Sn
_chemical_formula_sum 'Li1 Gd2 Sn1'
_symmetry_space_group_name_H-M 'P 1'
_symmetry_Int_Tables_number 1
_symmetry_space_group_name_Hall 'P 1'
_cell_length_a 11.815
_cell_length_b 11.815
_cell_length_c 11.815
_cell_angle_alpha 16.74
_cell_angle_beta 16.74
_cell_angle_gamma 16.74
loop_
_atom_site_label
_atom_site_type_symbol
_atom_site_fract_x
_atom_site_fract_y
_atom_site_fract_z
Li1 Li 0.000 0.000 0.000
Gd1 Gd 0.410 0.410 0.410
Gd2 Gd 0.590 0.590 0.590
Sn1 Sn 0.500 0.500 0.500
```

Calculated values
As for the formation energy: 0.160 eV per atom. For the magnetic moment, the calculation gives 15.3 μB/f.u.